Entry P
## TiTcRu2 (PBE)

Data for a relaxed TiTcRu2 crystal.

Cell lengths 9.2977, 9.2977, 9.2977 Å; angles 156.64, 156.64, 33.27 degrees
Closest atoms and distances in Å follow each position.
Positions (direct):
Ti 0.0000 0.0000 0.0000  4 Ru 2.56, 4 Tc 2.66
Ti 0.7500 0.2500 0.5000  4 Ru 2.56, 4 Tc 2.66
Tc 0.2500 0.7500 0.5000  4 Ru 2.63, 4 Ti 2.66
Tc 0.5000 0.5000 0.0000  4 Ru 2.63, 4 Ti 2.66
Ru 0.1009 0.6250 0.9759  4 Ru 2.54-2.79, 2 Ti 2.56, 2 Tc 2.63
Ru 0.3750 0.3509 0.4759  4 Ru 2.54-2.79, 2 Ti 2.56, 2 Tc 2.63
Ru 0.6491 0.1250 0.0241  4 Ru 2.54-2.79, 2 Ti 2.56, 2 Tc 2.63
Ru 0.8750 0.8991 0.5241  4 Ru 2.54-2.79, 2 Ti 2.56, 2 Tc 2.63

* DOS at the Fermi energy: 4.9 states/eV/f.u.
* space-group type: I-42d (122)

Entry Q
## TiTcRu2 (PBE)

Data for a relaxed TiTcRu2 crystal.

Cell lengths 4.3603, 4.3603, 4.3603 Å; angles 60.00, 60.00, 60.00 degrees
Closest atoms and distances in Å follow each position.
Positions (direct):
Ti 0.0000 0.0000 0.0000  8 Ru 2.67
Tc 0.5000 0.5000 0.5000  8 Ru 2.67
Ru 0.2500 0.2500 0.2500  4 Tc 2.67, 4 Ti 2.67
Ru 0.7500 0.7500 0.7500  4 Tc 2.67, 4 Ti 2.67

* DOS at the Fermi energy: 7.2 states/eV/f.u.
* space-group type: Fm-3m (225)

Stability, lowest: entry P

Entry P
## Ti4TcRu (PBE)

Data for a relaxed Ti4TcRu crystal.

Cell lengths 3.1156, 3.1156, 9.5969 Å; angles 90.00, 90.00, 90.00 degrees
Closest atoms and distances in Å follow each position.
Positions (direct):
Ti 0.0000 0.0000 0.1539  4 Tc 2.65, 5 Ti 2.86-2.95
Ti 0.0000 0.0000 0.8461  4 Tc 2.65, 5 Ti 2.86-2.95
Ti 0.5000 0.5000 0.3441  4 Ru 2.66, 4 Ti 2.86
Ti 0.5000 0.5000 0.6559  4 Ru 2.66, 4 Ti 2.86
Tc 0.5000 0.5000 0.0000  8 Ti 2.65
Ru 0.0000 0.0000 0.5000  8 Ti 2.66

* DOS at the Fermi energy: 8.6 states/eV/f.u.
* space-group type: P4/mmm (123)

Entry Q
## Ti4TcRu (PBE)

Data for a relaxed Ti4TcRu crystal.

Cell lengths 4.3603, 4.3603, 7.0919 Å; angles 107.92, 107.92, 60.13 degrees
Closest atoms and distances in Å follow each position.
Positions (direct):
Ti 0.1246 0.1246 0.3738  1 Tc 2.48, 3 Ru 2.65-2.66
Ti 0.3753 0.3753 0.1258  1 Ru 2.48, 3 Tc 2.65-2.66
Ti 0.6247 0.6247 0.8742  1 Ru 2.48, 3 Tc 2.65-2.66
Ti 0.8754 0.8754 0.6262  1 Tc 2.48, 3 Ru 2.65-2.66
Tc 0.0000 0.0000 0.0000  8 Ti 2.48-2.66
Ru 0.5000 0.5000 0.5000  8 Ti 2.48-2.66

* DOS at the Fermi energy: 8.5 states/eV/f.u.
* space-group type: C2/m (12)

Stability, lowest: entry Q

Entry P
## TlTc2Ru2 (PBE)

Data for a relaxed TlTc2Ru2 crystal.

Cell lengths 6.4825, 6.4825, 6.4825 Å; angles 145.57, 145.57, 49.49 degrees
Closest atoms and distances in Å follow each position.
Positions (direct):
Tl 0.0000 0.0000 0.0000  8 Ru 2.98
Tc 0.2500 0.7500 0.5000  4 Ru 2.57, 4 Tc 2.71
Tc 0.7500 0.2500 0.5000  4 Ru 2.57, 4 Tc 2.71
Ru 0.3949 0.3949 0.0000  1 Ru 2.48, 4 Tc 2.57
Ru 0.6051 0.6051 0.0000  1 Ru 2.48, 4 Tc 2.57

* DOS at the Fermi energy: 4.2 states/eV/f.u.
* space-group type: I4/mmm (139)

Entry Q
## TlTc2Ru2 (PBE)

Data for a relaxed TlTc2Ru2 crystal.

Cell lengths 7.6504, 7.6504, 2.8026 Å; angles 90.00, 90.00, 90.00 degrees
Closest atoms and distances in Å follow each position.
Positions (direct):
Tl 0.0000 0.0000 0.0000  2 Tl 2.80, 4 Ru 3.03
Tl 0.5000 0.5000 0.0000  2 Tl 2.80, 4 Ru 3.03
Tc 0.1622 0.3378 0.5000  6 Ru 2.62-2.70, 2 Tc 2.80
Tc 0.3378 0.8378 0.5000  6 Ru 2.62-2.70, 2 Tc 2.80
Tc 0.6622 0.1622 0.5000  6 Ru 2.62-2.70, 2 Tc 2.80
Tc 0.8378 0.6622 0.5000  6 Ru 2.62-2.70, 2 Tc 2.80
Ru 0.1243 0.6243 0.0000  6 Tc 2.62-2.70, 3 Ru 2.69-2.80
Ru 0.3757 0.1243 0.0000  6 Tc 2.62-2.70, 3 Ru 2.69-2.80
Ru 0.6243 0.8757 0.0000  6 Tc 2.62-2.70, 3 Ru 2.69-2.80
Ru 0.8757 0.3757 0.0000  6 Tc 2.62-2.70, 3 Ru 2.69-2.80

* DOS at the Fermi energy: 6.5 states/eV/f.u.
* space-group type: P4/mbm (127)

Stability, lowest: entry P

Entry P
## Tl2TcRu2 (PBE)

Data for a relaxed Tl2TcRu2 crystal.

Cell lengths 7.1230, 7.1230, 7.1230 Å; angles 148.01, 148.01, 45.88 degrees
Closest atoms and distances in Å follow each position.
Positions (direct):
Tl 0.2500 0.7500 0.5000  4 Tl 2.78, 4 Ru 2.88
Tl 0.7500 0.2500 0.5000  4 Tl 2.78, 4 Ru 2.88
Tc 0.0000 0.0000 0.0000  8 Ru 3.01
Ru 0.4109 0.4109 0.0000  1 Ru 2.34
Ru 0.5891 0.5891 0.0000  1 Ru 2.34

* DOS at the Fermi energy: 5.9 states/eV/f.u.
* space-group type: I4/mmm (139)

Entry Q
## Tl2TcRu2 (PBE)

Data for a relaxed Tl2TcRu2 crystal.

Cell lengths 6.5353, 6.5353, 4.4214 Å; angles 90.00, 90.00, 90.00 degrees
Closest atoms and distances in Å follow each position.
Positions (direct):
Tl 0.1779 0.3221 0.0000  6 Ru 2.81-3.02
Tl 0.3221 0.8221 0.0000  6 Ru 2.81-3.02
Tl 0.6779 0.1779 0.0000  6 Ru 2.81-3.02
Tl 0.8221 0.6779 0.0000  6 Ru 2.81-3.02
Tc 0.0000 0.0000 0.5000  4 Ru 2.55
Tc 0.5000 0.5000 0.5000  4 Ru 2.55
Ru 0.1344 0.6344 0.5000  1 Ru 2.48, 2 Tc 2.55
Ru 0.3656 0.1344 0.5000  1 Ru 2.48, 2 Tc 2.55
Ru 0.6344 0.8656 0.5000  1 Ru 2.48, 2 Tc 2.55
Ru 0.8656 0.3656 0.5000  1 Ru 2.48, 2 Tc 2.55

* DOS at the Fermi energy: 5.3 states/eV/f.u.
* space-group type: P4/mbm (127)

Stability, lowest: entry P

Entry P
## V3TcRu (PBE)

Data for a relaxed V3TcRu crystal.

Cell lengths 4.4971, 4.4971, 4.4971 Å; angles 90.00, 90.00, 90.00 degrees
Closest atoms and distances in Å follow each position.
Positions (direct):
V 0.0000 0.0000 0.5000  2 Ru 2.25
V 0.0000 0.5000 0.0000  2 Ru 2.25
V 0.5000 0.0000 0.0000  2 Ru 2.25
Tc 0.5000 0.5000 0.5000  12 V 3.18
Ru 0.0000 0.0000 0.0000  6 V 2.25

* DOS at the Fermi energy: 6.5 states/eV/f.u.
* space-group type: Pm-3m (221)

Entry Q
## V3TcRu (PBE)

Data for a relaxed V3TcRu crystal.

Cell lengths 7.0409, 7.0409, 6.1452 Å; angles 94.53, 94.53, 70.94 degrees
Closest atoms and distances in Å follow each position.
Positions (direct):
V 0.0221 0.8222 0.6093  2 V 2.36-2.44, 2 Tc 2.46-2.51, 2 Ru 2.54-2.57
V 0.1359 0.5805 0.9513  2 Ru 2.47-2.64, 1 Tc 2.50, 2 V 2.65-2.71
V 0.1778 0.9779 0.8907  2 V 2.36-2.44, 2 Tc 2.46-2.51, 2 Ru 2.54-2.57
V 0.1915 0.4990 0.4236  2 Tc 2.40-2.46, 1 V 2.44, 2 Ru 2.55-2.64
V 0.4195 0.8641 0.5487  2 Ru 2.47-2.64, 1 Tc 2.50, 2 V 2.65-2.71
V 0.4990 0.1915 0.9236  2 Tc 2.40-2.46, 1 V 2.44, 2 Ru 2.55-2.64
V 0.5010 0.8085 0.0764  2 Tc 2.40-2.46, 1 V 2.44, 2 Ru 2.55-2.64
V 0.5805 0.1359 0.4513  2 Ru 2.47-2.64, 1 Tc 2.50, 2 V 2.65-2.71
V 0.8085 0.5010 0.5764  2 Tc 2.40-2.46, 1 V 2.44, 2 Ru 2.55-2.64
V 0.8222 0.0221 0.1093  2 V 2.36-2.44, 2 Tc 2.46-2.51, 2 Ru 2.54-2.57
V 0.8641 0.4195 0.0487  2 Ru 2.47-2.64, 1 Tc 2.50, 2 V 2.65-2.71
V 0.9779 0.1778 0.3907  2 V 2.36-2.44, 2 Tc 2.46-2.51, 2 Ru 2.54-2.57
Tc 0.1889 0.2697 0.7038  5 V 2.40-2.51
Tc 0.2697 0.1889 0.2038  5 V 2.40-2.51
Tc 0.7303 0.8111 0.7962  5 V 2.40-2.51
Tc 0.8111 0.7303 0.2962  5 V 2.40-2.51
Ru 0.1792 0.8208 0.2500  8 V 2.47-2.57
Ru 0.4676 0.5324 0.7500  6 V 2.64-2.73, 1 Ru 2.89
Ru 0.5324 0.4676 0.2500  6 V 2.64-2.73, 1 Ru 2.89
Ru 0.8208 0.1792 0.7500  8 V 2.47-2.57

* DOS at the Fermi energy: 5.1 states/eV/f.u.
* space-group type: C2/c (15)

Stability, lowest: entry P

Entry P
## VTcRu2 (PBE)

Data for a relaxed VTcRu2 crystal.

Cell lengths 4.3173, 4.3173, 4.3173 Å; angles 60.00, 60.00, 60.00 degrees
Closest atoms and distances in Å follow each position.
Positions (direct):
V 0.0000 0.0000 0.0000  8 Ru 2.64
Tc 0.5000 0.5000 0.5000  8 Ru 2.64
Ru 0.2500 0.2500 0.2500  4 Tc 2.64, 4 V 2.64
Ru 0.7500 0.7500 0.7500  4 Tc 2.64, 4 V 2.64

* DOS at the Fermi energy: 7.4 states/eV/f.u.
* space-group type: Fm-3m (225)

Entry Q
## VTcRu2 (PBE)

Data for a relaxed VTcRu2 crystal.

Cell lengths 3.8337, 3.8337, 3.8100 Å; angles 90.00, 90.00, 90.00 degrees
Closest atoms and distances in Å follow each position.
Positions (direct):
V 0.0000 0.0000 0.0000  8 Ru 2.70, 4 Tc 2.71
Tc 0.5000 0.5000 0.0000  8 Ru 2.70, 4 V 2.71
Ru 0.0000 0.5000 0.5000  4 Tc 2.70, 4 V 2.70, 4 Ru 2.71
Ru 0.5000 0.0000 0.5000  4 Tc 2.70, 4 V 2.70, 4 Ru 2.71

* DOS at the Fermi energy: 5.5 states/eV/f.u.
* space-group type: P4/mmm (123)

Entry R
## VTcRu2 (PBE)

Data for a relaxed VTcRu2 crystal.

Cell lengths 4.9734, 4.9734, 4.9734 Å; angles 48.37, 48.37, 48.37 degrees
Closest atoms and distances in Å follow each position.
Positions (direct):
V 0.0000 0.0000 0.0000  1 Tc 2.46, 6 Ru 2.48-2.55
Tc 0.1869 0.1869 0.1869  1 V 2.46, 4 Ru 2.53-2.70
Ru 0.3924 0.3924 0.3924  3 V 2.48, 1 Ru 2.62, 1 Tc 2.70
Ru 0.5915 0.5915 0.5915  3 Tc 2.53, 3 V 2.55, 1 Ru 2.62

* DOS at the Fermi energy: 5.3 states/eV/f.u.
* space-group type: R3m (160)

Entry S
## VTcRu2 (PBE)

Data for a relaxed VTcRu2 crystal.

Cell lengths 2.7350, 2.7350, 7.4893 Å; angles 90.00, 90.00, 90.00 degrees
Closest atoms and distances in Å follow each position.
Positions (direct):
V 0.0000 0.0000 0.0000  8 Ru 2.66, 4 V 2.74
Tc 0.0000 0.0000 0.5000  8 Ru 2.72, 4 Tc 2.74
Ru 0.5000 0.5000 0.2440  4 V 2.66, 4 Tc 2.72, 4 Ru 2.74
Ru 0.5000 0.5000 0.7560  4 V 2.66, 4 Tc 2.72, 4 Ru 2.74

* DOS at the Fermi energy: 5.5 states/eV/f.u.
* space-group type: P4/mmm (123)

Stability, lowest: entry R

Entry P
## VTcRu (PBE)

Data for a relaxed VTcRu crystal.

Cell lengths 5.0976, 5.0976, 5.0976 Å; angles 145.57, 145.57, 49.48 degrees
Closest atoms and distances in Å follow each position.
Positions (direct):
V 0.0000 0.0000 0.0000  4 Tc 2.55, 4 Ru 2.59
Tc 0.6515 0.6515 0.0000  4 V 2.55, 4 Ru 2.77
Ru 0.3418 0.3418 0.0000  4 V 2.59, 5 Tc 2.77-2.87

* DOS at the Fermi energy: 3.0 states/eV/f.u.
* space-group type: I4mm (107)

Entry Q
## VTcRu (PBE)

Data for a relaxed VTcRu crystal.

Cell lengths 5.0381, 5.0381, 4.0855 Å; angles 90.00, 90.00, 90.14 degrees
Closest atoms and distances in Å follow each position.
Positions (direct):
V 0.0000 0.0000 0.0000  2 Ru 2.23, 4 Tc 2.43
V 0.5000 0.5000 0.5000  2 Tc 2.25, 4 Ru 2.44
Tc 0.1851 0.8149 0.5000  3 V 2.25-2.43
Tc 0.8149 0.1851 0.5000  3 V 2.25-2.43
Ru 0.3136 0.3136 0.0000  3 V 2.23-2.44
Ru 0.6864 0.6864 0.0000  3 V 2.23-2.44

* DOS at the Fermi energy: 3.6 states/eV/f.u.
* space-group type: Cmmm (65)

Entry R
## VTcRu (PBE)

Data for a relaxed VTcRu crystal.

Cell lengths 4.3332, 4.3332, 2.6471 Å; angles 90.00, 90.00, 120.00 degrees
Closest atoms and distances in Å follow each position.
Positions (direct):
V 0.0000 0.0000 0.0000  2 V 2.65, 6 Tc 2.83, 6 Ru 2.83
Tc 0.6667 0.3333 0.5000  3 Ru 2.50, 2 Tc 2.65
Ru 0.3333 0.6667 0.5000  3 Tc 2.50, 2 Ru 2.65

* DOS at the Fermi energy: 3.0 states/eV/f.u.
* space-group type: P-6m2 (187)

Stability, lowest: entry Q

Entry P
## V2TcRu (PBE)

Data for a relaxed V2TcRu crystal.

Cell lengths 4.2692, 4.2692, 4.2692 Å; angles 60.00, 60.00, 60.00 degrees
Closest atoms and distances in Å follow each position.
Positions (direct):
V 0.2500 0.2500 0.2500  4 Tc 2.61, 4 Ru 2.61
V 0.7500 0.7500 0.7500  4 Tc 2.61, 4 Ru 2.61
Tc 0.0000 0.0000 0.0000  8 V 2.61
Ru 0.5000 0.5000 0.5000  8 V 2.61

* DOS at the Fermi energy: 4.3 states/eV/f.u.
* space-group type: Fm-3m (225)

Entry Q
## V2TcRu (PBE)

Data for a relaxed V2TcRu crystal.

Cell lengths 3.0148, 3.0148, 6.0433 Å; angles 90.00, 90.00, 90.00 degrees
Closest atoms and distances in Å follow each position.
Positions (direct):
V 0.0000 0.0000 0.2437  4 Tc 2.59, 4 Ru 2.63
V 0.0000 0.0000 0.7563  4 Tc 2.59, 4 Ru 2.63
Tc 0.5000 0.5000 0.0000  8 V 2.59
Ru 0.5000 0.5000 0.5000  8 V 2.63

* DOS at the Fermi energy: 3.1 states/eV/f.u.
* space-group type: P4/mmm (123)

Stability, lowest: entry P

Entry P
## V4TcRu (PBE)

Data for a relaxed V4TcRu crystal.

Cell lengths 4.8768, 4.8768, 4.8768 Å; angles 60.00, 60.00, 60.00 degrees
Closest atoms and distances in Å follow each position.
Positions (direct):
V 0.1252 0.1252 0.1252  6 V 2.44
V 0.1252 0.1252 0.6245  6 V 2.44
V 0.1252 0.6245 0.1252  6 V 2.44
V 0.6245 0.1252 0.1252  6 V 2.44
Tc 0.5000 0.5000 0.5000  12 V 2.86, 4 Ru 2.99
Ru 0.7500 0.7500 0.7500  12 V 2.86, 4 Tc 2.99

* DOS at the Fermi energy: 12.8 states/eV/f.u.
* space-group type: F-43m (216)

Entry Q
## V4TcRu (PBE)

Data for a relaxed V4TcRu crystal.

Cell lengths 4.1361, 4.1361, 7.0409 Å; angles 106.90, 106.90, 59.79 degrees
Closest atoms and distances in Å follow each position.
Positions (direct):
V 0.1262 0.1262 0.3772  1 Ru 2.50, 3 Tc 2.52-2.53
V 0.3734 0.3734 0.1223  1 Tc 2.51, 3 Ru 2.52
V 0.6266 0.6266 0.8777  1 Tc 2.51, 3 Ru 2.52
V 0.8738 0.8738 0.6228  1 Ru 2.50, 3 Tc 2.52-2.53
Tc 0.5000 0.5000 0.5000  8 V 2.51-2.53
Ru 0.0000 0.0000 0.0000  8 V 2.50-2.52

* DOS at the Fermi energy: 6.3 states/eV/f.u.
* space-group type: C2/m (12)

Stability, lowest: entry Q

Entry P
## V2TcRu2 (PBE)

Data for a relaxed V2TcRu2 crystal.

Cell lengths 7.0689, 7.0689, 2.8363 Å; angles 90.00, 90.00, 90.00 degrees
Closest atoms and distances in Å follow each position.
Positions (direct):
V 0.1521 0.3479 0.0000  6 Ru 2.44-2.56, 2 Tc 2.68
V 0.3479 0.8479 0.0000  6 Ru 2.44-2.56, 2 Tc 2.68
V 0.6521 0.1521 0.0000  6 Ru 2.44-2.56, 2 Tc 2.68
V 0.8479 0.6521 0.0000  6 Ru 2.44-2.56, 2 Tc 2.68
Tc 0.0000 0.0000 0.0000  4 V 2.68, 2 Tc 2.84
Tc 0.5000 0.5000 0.0000  4 V 2.68, 2 Tc 2.84
Ru 0.1496 0.6496 0.5000  6 V 2.44-2.56
Ru 0.3504 0.1496 0.5000  6 V 2.44-2.56
Ru 0.6496 0.8504 0.5000  6 V 2.44-2.56
Ru 0.8504 0.3504 0.5000  6 V 2.44-2.56

* DOS at the Fermi energy: 3.9 states/eV/f.u.
* space-group type: P4/mbm (127)

Entry Q
## V2TcRu2 (PBE)

Data for a relaxed V2TcRu2 crystal.

Cell lengths 7.1324, 7.1324, 2.8096 Å; angles 90.00, 90.00, 90.00 degrees
Closest atoms and distances in Å follow each position.
Positions (direct):
V 0.1657 0.3343 0.0000  6 Ru 2.45-2.58
V 0.3343 0.8343 0.0000  6 Ru 2.45-2.58
V 0.6657 0.1657 0.0000  6 Ru 2.45-2.58
V 0.8343 0.6657 0.0000  6 Ru 2.45-2.58
Tc 0.0000 0.0000 0.5000  4 Ru 2.77, 2 Tc 2.81, 8 V 3.01
Tc 0.5000 0.5000 0.5000  4 Ru 2.77, 2 Tc 2.81, 8 V 3.01
Ru 0.1356 0.6356 0.5000  6 V 2.45-2.58, 1 Ru 2.74
Ru 0.3644 0.1356 0.5000  6 V 2.45-2.58, 1 Ru 2.74
Ru 0.6356 0.8644 0.5000  6 V 2.45-2.58, 1 Ru 2.74
Ru 0.8644 0.3644 0.5000  6 V 2.45-2.58, 1 Ru 2.74

* DOS at the Fermi energy: 6.5 states/eV/f.u.
* space-group type: P4/mbm (127)

Stability, lowest: entry Q

Entry P
## TcRuW2 (PBE)

Data for a relaxed TcRuW2 crystal.

Cell lengths 4.7796, 4.7796, 2.8039 Å; angles 90.00, 90.00, 107.53 degrees
Closest atoms and distances in Å follow each position.
Positions (direct):
Tc 0.0000 0.0000 0.0000  8 W 2.77, 2 Tc 2.80, 2 Ru 2.83
Ru 0.5000 0.5000 0.0000  8 W 2.77, 2 Ru 2.80, 2 Tc 2.83
W 0.0000 0.5000 0.5000  4 Tc 2.77, 4 Ru 2.77, 4 W 2.80-2.83
W 0.5000 0.0000 0.5000  4 Tc 2.77, 4 Ru 2.77, 4 W 2.80-2.83

* DOS at the Fermi energy: 3.7 states/eV/f.u.
* space-group type: Cmmm (65)

Entry Q
## TcRuW2 (PBE)

Data for a relaxed TcRuW2 crystal.

Cell lengths 9.2607, 9.2607, 9.2607 Å; angles 17.29, 17.29, 17.29 degrees
Closest atoms and distances in Å follow each position.
Positions (direct):
Tc 0.0000 0.0000 0.0000  6 Tc 2.78, 6 W 2.80
Ru 0.5000 0.5000 0.5000  6 W 2.78, 6 Ru 2.78
W 0.2494 0.2494 0.2494  3 Ru 2.78, 6 W 2.78, 3 Tc 2.80
W 0.7506 0.7506 0.7506  3 Ru 2.78, 6 W 2.78, 3 Tc 2.80

* DOS at the Fermi energy: 5.6 states/eV/f.u.
* space-group type: R-3m (166)

Stability, lowest: entry Q